DFT (GGA-PBE) results for an optimized crystal structure of NbReW2.

It has space group P4/mmm (No. 123), with a = 4.512 Å, b = 4.512 Å, c = 3.194 Å, α = 90.00°, β = 90.00° and γ = 90.00°. The asymmetric unit holds Nb at (0.000, 0.000, 0.000), Re at (0.500, 0.500, 0.000) and W at (0.000, 0.500, 0.500).

As for the total energy: -12.17 eV per atom. Its formation energy from the elements is -63.5 meV/atom. The value obtained for the polymorph energy (0 for the lowest one) is 0.087 eV per formula unit.

---

DFT (GGA-PBE) results for an optimized crystal structure of Nb3ReW2.

It has space group C2/c (No. 15), with a = 7.952 Å, b = 8.427 Å, c = 6.281 Å, α = 90.00°, β = 97.68° and γ = 90.00°. The asymmetric unit holds Nb at (0.000, 0.084, 0.250), Nb at (0.238, 0.421, 0.004), Re at (0.000, 0.417, 0.250) and W at (0.122, 0.251, 0.623).

As for the total energy: -11.17 eV per atom. Its formation energy from the elements is 261.8 meV/atom. The value obtained for the polymorph energy (0 for the lowest one) is 2.423 eV per formula unit.

---

- Among the records above, which one has the lowest formation energy from the elements?
  NbReW2

---

Please write out number 1 again, unchanged.
DFT (GGA-PBE) results for an optimized crystal structure of NbReW2.

It has space group P4/mmm (No. 123), with a = 4.512 Å, b = 4.512 Å, c = 3.194 Å, α = 90.00°, β = 90.00° and γ = 90.00°. The asymmetric unit holds Nb at (0.000, 0.000, 0.000), Re at (0.500, 0.500, 0.000) and W at (0.000, 0.500, 0.500).

As for the total energy: -12.17 eV per atom. Its formation energy from the elements is -63.5 meV/atom. The value obtained for the polymorph energy (0 for the lowest one) is 0.087 eV per formula unit.